This record from the Alexandria database describes a crystal of Zr2ScSb2 relaxed with PBEsol. The functional is SCAN.

a b c (Å): 7.6753 7.6753 3.7742
angles (deg): 90.00 90.00 90.00
Closest atoms and distances in Å follow each position.
Sites, in units of the cell vectors:
Zr1 0.1516 0.3484 0.0000  6 Sb 2.90-2.96
Zr2 0.3484 0.8484 0.0000  6 Sb 2.90-2.96
Zr3 0.6516 0.1516 0.0000  6 Sb 2.90-2.96
Zr4 0.8484 0.6516 0.0000  6 Sb 2.90-2.96
Sc1 0.0000 0.0000 0.5000  4 Sb 2.94
Sc2 0.5000 0.5000 0.5000  4 Sb 2.94
Sb1 0.1461 0.6461 0.5000  6 Zr 2.90-2.96, 2 Sc 2.94, 1 Sb 3.17
Sb2 0.3539 0.1461 0.5000  6 Zr 2.90-2.96, 2 Sc 2.94, 1 Sb 3.17
Sb3 0.6461 0.8539 0.5000  6 Zr 2.90-2.96, 2 Sc 2.94, 1 Sb 3.17
Sb4 0.8539 0.3539 0.5000  6 Zr 2.90-2.96, 2 Sc 2.94, 1 Sb 3.17

Values from the calculation:
Space group: P4/mbm (127)
Uncorrected energy: -30.8385 eV per atom
Raw formation energy: -807 meV/atom